No. 1
Below is a crystal of TlSbOs relaxed with PBEsol, with properties calculated at the SCAN level.

Results
E_form (uncorrected): 0.80 eV per atom
DOS at the Fermi energy: 1.99 states/eV/f.u.
Magnetization: 0.0 μB/f.u.
SG: No. 42
Raw total energy: -4.388 Ry per atom

a b c (Å): 8.132 7.865 3.063
angles (deg): 83.91 74.10 22.00
Fractional positions:
Tl  0.000  0.000  0.000
Sb  0.290  0.290  0.710
Os  0.655  0.655  0.345

No. 2
Below is a crystal of La2AlTl relaxed with PBEsol, with properties calculated at the SCAN level.

Results
DOS at the Fermi energy: 2.67 states/eV/f.u.
Magnetization: 0.0 μB/f.u.
SG: No. 65
ΔH_f (0 K): -0.482 eV/atom
Raw total energy: -3.092 Ry per atom

a b c (Å): 5.680 5.680 3.538
angles (deg): 90.00 90.00 103.32
Fractional positions:
La  0.000  0.500  0.000
La  0.500  0.000  0.000
Al  0.000  0.000  0.500
Tl  0.500  0.500  0.500

No. 3
Below is a crystal of Fe2HgW relaxed with PBEsol, with properties calculated at the SCAN level.

Results
DOS at the Fermi energy: 4.34 states/eV/f.u.
Magnetization: 4.8 μB/f.u.
SG: No. 123
ΔH_f (0 K): 0.617 eV/atom
Raw total energy: -3.154 Ry per atom

a b c (Å): 4.053 4.053 3.271
angles (deg): 90.00 90.00 90.00
Fractional positions:
Fe  0.000  0.500  0.000
Fe  0.500  0.000  0.000
Hg  0.000  0.000  0.500
W  0.500  0.500  0.500

No. 4
Below is a crystal of HfCrSnSb2 relaxed with PBEsol, with properties calculated at the SCAN level.

Results
E_form (uncorrected): 0.74 eV per atom
DOS at the Fermi energy: 4.13 states/eV/f.u.
Magnetization: 3.8 μB/f.u.
SG: No. 123
Raw total energy: -2.761 Ry per atom

a b c (Å): 5.416 5.416 4.862
angles (deg): 90.00 90.00 90.00
Fractional positions:
Hf  0.000  0.000  0.000
Cr  0.000  0.000  0.500
Sn  0.500  0.500  0.500
Sb  0.000  0.500  0.000
Sb  0.500  0.000  0.000

No. 5
Below is a crystal of InSiMo2 relaxed with PBEsol, with properties calculated at the SCAN level.

Results
E_form (uncorrected): 0.06 eV per atom
DOS at the Fermi energy: 1.20 states/eV/f.u.
Magnetization: 0.0 μB/f.u.
SG: No. 99
Distance to the lowest polymorph of the same formula: 0.000 eV/atom
Raw total energy: -2.075 Ry per atom

a b c (Å): 3.199 3.199 6.318
angles (deg): 90.00 90.00 90.00
Fractional positions:
In  0.000  0.000  0.000
Si  0.500  0.500  0.706
Mo  0.000  0.000  0.516
Mo  0.500  0.500  0.282

No. 6
Below is a crystal of LaYMg2 relaxed with PBEsol, with properties calculated at the SCAN level.

Results
DOS at the Fermi energy: 4.11 states/eV/f.u.
Magnetization: 0.0 μB/f.u.
SG: No. 225
ΔH_f (0 K): -0.125 eV/atom
Raw total energy: -1.496 Ry per atom

a b c (Å): 5.420 5.420 5.420
angles (deg): 60.00 60.00 60.00
Fractional positions:
La  0.000  0.000  0.000
Y  0.500  0.500  0.500
Mg  0.250  0.250  0.250
Mg  0.750  0.750  0.750

No. 7
Below is a crystal of SrLiCd2 relaxed with PBEsol, with properties calculated at the SCAN level.

Results
DOS at the Fermi energy: 2.22 states/eV/f.u.
Magnetization: 0.0 μB/f.u.
SG: No. 166
Distance to the lowest polymorph of the same formula: 0.000 eV/atom
ΔH_f (0 K): -0.326 eV/atom
Raw total energy: -1.595 Ry per atom

a b c (Å): 6.116 6.116 6.116
angles (deg): 46.24 46.24 46.24
Fractional positions:
Sr  0.000  0.000  0.000
Li  0.500  0.500  0.500
Cd  0.201  0.201  0.201
Cd  0.799  0.799  0.799

No. 8
Below is a crystal of CaCuSi2O6 relaxed with PBEsol, with properties calculated at the SCAN level.

Results
E_form (uncorrected): -2.69 eV per atom
Magnetization: 1.0 μB/f.u.
SG: No. 15
Distance to the lowest polymorph of the same formula: 0.000 eV/atom
Raw total energy: -0.802 Ry per atom

a b c (Å): 6.673 6.673 5.216
angles (deg): 102.58 102.58 84.78
Fractional positions:
Ca  0.203  0.797  0.750
Ca  0.797  0.203  0.250
Cu  0.402  0.598  0.250
Cu  0.598  0.402  0.750
Si  0.122  0.309  0.782
Si  0.309  0.122  0.282
Si  0.691  0.878  0.718
Si  0.878  0.691  0.218
O  0.107  0.606  0.320
O  0.130  0.170  0.015
O  0.170  0.130  0.515
O  0.298  0.478  0.870
O  0.394  0.893  0.180
O  0.478  0.298  0.370
O  0.522  0.702  0.630
O  0.606  0.107  0.820
O  0.702  0.522  0.130
O  0.830  0.870  0.485
O  0.870  0.830  0.985
O  0.893  0.394  0.680